Here is a relaxed Ru2PbCl crystal from Alexandria. Energies are from PBE.

The uncorrected formation energy is 0.25 eV per atom. As for the density of states at the Fermi level: 1.57 states/eV/cell. The crystal system is tetragonal.

The structure belongs to space group P4mm (No. 99); the cell edges are 2.9789, 2.9789 and 8.8837 Å and the angles 90.00°, 90.00° and 90.00°. The asymmetric unit holds Ru at (0.0000, 0.0000, 0.0000), Ru at (0.5000, 0.5000, 0.1746), Pb at (0.5000, 0.5000, 0.7470) and Cl at (0.0000, 0.0000, 0.3662).

---

Here is a relaxed Cs2CaGeI6 crystal from Alexandria. Energies are from PBE.

The uncorrected formation energy is -1.19 eV per atom. As for the density of states at the Fermi level: 0.00 states/eV/cell. The crystal system is cubic.

The structure belongs to space group Fm-3m (No. 225); the cell edges are 12.2558, 12.2558 and 12.2558 Å and the angles 90.00°, 90.00° and 90.00°. The asymmetric unit holds Cs at (0.2500, 0.2500, 0.2500), Ca at (0.0000, 0.0000, 0.0000), Ge at (0.0000, 0.0000, 0.5000) and I at (0.0000, 0.0000, 0.2543).

---

Here is a relaxed K3U2TlSe6 crystal from Alexandria. Energies are from PBE.

The uncorrected formation energy is -1.16 eV per atom. As for the density of states at the Fermi level: 26.34 states/eV/cell. The crystal system is monoclinic.

The structure belongs to space group C2/m (No. 12); the cell edges are 19.5270, 4.2874 and 9.3475 Å and the angles 90.00°, 104.20° and 90.00°. The asymmetric unit holds K at (0.0000, 0.0000, 0.0000), K at (0.1531, 0.5000, 0.3418), U at (0.1692, 0.5000, 0.8377), Tl at (0.0000, 0.0000, 0.5000), Se at (0.0266, 0.5000, 0.7652), Se at (0.1749, 0.0000, 0.6375) and Se at (0.1775, 0.0000, 0.0548).

---

Here is a relaxed SrLaMg3 crystal from Alexandria. Energies are from PBE.

As for the density of states at the Fermi level: 6.89 states/eV/cell. The crystal system is cubic. The value obtained for the formation enthalpy at 0 K is 0.761 eV/atom.

The structure belongs to space group Pm-3m (No. 221); the cell edges are 5.7401, 5.7401 and 5.7401 Å and the angles 90.00°, 90.00° and 90.00°. The asymmetric unit holds Sr at (0.0000, 0.0000, 0.0000), La at (0.5000, 0.5000, 0.5000) and Mg at (0.0000, 0.0000, 0.5000).

---

Here is a relaxed CsGaSN2 crystal from Alexandria. Energies are from PBE.

The uncorrected formation energy is 1.00 eV per atom. As for the density of states at the Fermi level: 2.85 states/eV/cell. The crystal system is tetragonal.

The structure belongs to space group P4/mmm (No. 123); the cell edges are 4.5140, 4.5140 and 4.8865 Å and the angles 90.00°, 90.00° and 90.00°. The asymmetric unit holds Cs at (0.0000, 0.0000, 0.0000), Ga at (0.5000, 0.5000, 0.5000), S at (0.5000, 0.5000, 0.0000) and N at (0.0000, 0.5000, 0.5000).

---

Here is a relaxed KNiSb2 crystal from Alexandria. Energies are from PBE.

The uncorrected formation energy is 0.32 eV per atom. As for the density of states at the Fermi level: 9.62 states/eV/cell. The crystal system is cubic.

The structure belongs to space group Fm-3m (No. 225); the cell edges are 7.2173, 7.2173 and 7.2173 Å and the angles 90.00°, 90.00° and 90.00°. The asymmetric unit holds K at (0.0000, 0.0000, 0.0000), Ni at (0.0000, 0.0000, 0.5000) and Sb at (0.2500, 0.2500, 0.2500).

---

Here is a relaxed ScCoRe2 crystal from Alexandria. Energies are from PBE.

As for the density of states at the Fermi level: 4.51 states/eV/cell. The crystal system is monoclinic. The value obtained for the formation enthalpy at 0 K is 0.055 eV/atom.

The structure belongs to space group Pm (No. 6); the cell edges are 2.8114, 4.3300 and 5.0123 Å and the angles 90.00°, 98.43° and 90.00°. The asymmetric unit holds Sc at (0.0000, 0.0000, 0.0000), Co at (0.5795, 0.5000, 0.1720), Re at (0.2593, 0.5000, 0.6635) and Re at (0.6097, 0.0000, 0.4865).